Here is a geometry-optimized BaIn2 structure from Alexandria. Energies are from PBE-GGA.

Unit cell a=3.895 b=3.895 c=13.230 alpha=90.00 beta=90.00 gamma=90.00
Space group I4/mmm (No. 139)
One atom of each set of equivalent atoms:
Ba: 0.000 0.000 0.000 (multiplicity 2)
In: 0.000 0.000 0.313 (multiplicity 4)

Results
Uncorrected energy, eV for the cell shown: -16.7
V, Å³/f.u.: 100